1.
Entry from Alexandria via LeMat-Bulk: a relaxed Sr2MnBr crystal (PBE-GGA).

Values from the calculation:
Density of states at the Fermi level in states/eV/cell: 5.142
E in eV/atom: -3.68

a b c (Å): 6.4392 6.4392 6.4392
angles (deg): 140.57 114.67 79.06
Closest atoms and distances in Å follow each position.
Fractional coordinates of all 4 atoms:
Br (0.2500, 0.7500, 0.5000)  4 Sr 3.14
Mn (0.7500, 0.2500, 0.5000)  4 Sr 3.47
Sr (0.0222, 0.0222, 0.0000)  2 Br 3.14, 2 Mn 3.47
Sr (0.4778, 0.4778, 0.0000)  2 Br 3.14, 2 Mn 3.47

=====

2.
Entry from Alexandria via LeMat-Bulk: a relaxed SrMn3Br8 crystal (PBE-GGA).

Values from the calculation:
Density of states at the Fermi level in states/eV/cell: 0.000
E in eV/atom: -4.63

a b c (Å): 8.1248 8.1261 8.5296
angles (deg): 119.11 90.00 119.99
Closest atoms and distances in Å follow each position.
Fractional coordinates of all 12 atoms:
Sr (0.0000, 0.0000, 0.0000)  6 Br 2.99
Mn (0.5000, 0.0000, 0.0000)  6 Br 2.72-2.77
Mn (0.5000, 0.5000, 0.0000)  6 Br 2.72-2.78
Mn (0.0000, 0.5000, 0.0000)  6 Br 2.72-2.78
Br (0.2619, 0.5239, 0.7900)  3 Mn 2.77-2.78
Br (0.7381, 0.4761, 0.2100)  3 Mn 2.77-2.78
Br (0.2899, 0.0333, 0.7812)  2 Mn 2.72, 1 Sr 2.99
Br (0.7434, 0.0333, 0.7812)  2 Mn 2.72, 1 Sr 2.99
Br (0.7433, 0.4865, 0.7814)  2 Mn 2.72, 1 Sr 2.99
Br (0.2567, 0.5135, 0.2186)  2 Mn 2.72, 1 Sr 2.99
Br (0.2566, 0.9667, 0.2188)  2 Mn 2.72, 1 Sr 2.99
Br (0.7101, 0.9667, 0.2188)  2 Mn 2.72, 1 Sr 2.99

=====

3.
Entry from Alexandria via LeMat-Bulk: a relaxed Sr4MnBr crystal (PBE-GGA).

Values from the calculation:
Density of states at the Fermi level in states/eV/cell: 8.071
E in eV/atom: -2.48

a b c (Å): 7.4883 7.4883 7.4883
angles (deg): 60.00 60.00 60.00
Closest atoms and distances in Å follow each position.
Fractional coordinates of all 6 atoms:
Sr (0.8780, 0.3740, 0.3740)  6 Sr 3.71-3.77
Sr (0.3740, 0.3740, 0.8780)  6 Sr 3.71-3.77
Sr (0.3740, 0.8780, 0.3740)  6 Sr 3.71-3.77
Sr (0.3740, 0.3740, 0.3740)  6 Sr 3.71-3.77
Mn (0.0000, 0.0000, 0.0000)  12 Sr 4.39, 4 Br 4.59
Br (0.7500, 0.7500, 0.7500)  12 Sr 4.39, 4 Mn 4.59

=====

4.
Entry from Alexandria via LeMat-Bulk: a relaxed SrMnBr2 crystal (PBE-GGA).

Values from the calculation:
Density of states at the Fermi level in states/eV/cell: 2.820
E in eV/atom: -4.16

a b c (Å): 5.1161 5.0917 4.2594
angles (deg): 90.00 90.00 90.00
Closest atoms and distances in Å follow each position.
Fractional coordinates of all 4 atoms:
Br (0.0000, 0.0000, 0.0000)  4 Sr 3.32, 4 Mn 3.33, 4 Br 3.61
Br (0.5000, 0.5000, 0.0000)  4 Mn 3.32, 4 Sr 3.33, 4 Br 3.61
Mn (0.5000, 0.0000, 0.5000)  8 Br 3.32-3.33, 4 Sr 3.61
Sr (0.0000, 0.5000, 0.5000)  8 Br 3.32-3.33, 4 Mn 3.61

=====

5.
Entry from Alexandria via LeMat-Bulk: a relaxed SrMnBr2 crystal (PBE-GGA).

Values from the calculation:
Density of states at the Fermi level in states/eV/cell: 3.512
E in eV/atom: -3.87

a b c (Å): 5.5443 5.5443 5.5443
angles (deg): 60.00 60.00 60.00
Closest atoms and distances in Å follow each position.
Fractional coordinates of all 4 atoms:
Br (0.0000, 0.0000, 0.0000)  4 Br 3.40, 4 Sr 3.40
Br (0.2500, 0.2500, 0.2500)  4 Mn 3.40, 4 Br 3.40
Mn (0.5000, 0.5000, 0.5000)  4 Sr 3.40, 4 Br 3.40
Sr (0.7500, 0.7500, 0.7500)  4 Mn 3.40, 4 Br 3.40

=====

6.
Entry from Alexandria via LeMat-Bulk: a relaxed SrMnBr crystal (PBE-GGA).

Values from the calculation:
Density of states at the Fermi level in states/eV/cell: 1.780
E in eV/atom: -4.38

a b c (Å): 6.9858 6.9861 3.8142
angles (deg): 74.15 74.16 31.69
Closest atoms and distances in Å follow each position.
Fractional coordinates of all 3 atoms:
Br (0.0206, 0.0206, 0.9794)  4 Sr 3.22
Mn (0.3223, 0.3223, 0.6777)  4 Sr 3.44, 4 Br 3.71-3.72, 4 Mn 3.81
Sr (0.6571, 0.6571, 0.3429)  4 Br 3.22, 4 Mn 3.44

=====

no.,theoretical density (g cm⁻³)
1,3.43
2,3.67
3,2.71
4,4.53
5,4.17
6,3.94